Entry 1:
VASP calculation (PBE) on a relaxed Hg2Te8Pt3 crystal.

Geometry as POSCAR:
```
Hg2Te8Pt3
1.0
6.777 -4.093 0.000
6.777 4.093 0.000
-1.624 0.000 7.019
Hg Te Pt
2 8 3
Cartesian
2.711 0.000 1.032
9.218 0.000 5.987
0.919 0.000 3.240
5.067 1.897 0.933
6.862 1.897 6.086
4.381 0.000 4.399
7.548 0.000 2.620
5.067 -1.897 0.933
6.862 -1.897 6.086
11.009 0.000 3.779
5.964 2.002 3.509
6.777 0.000 0.000
5.964 -2.002 3.509
```

Output
* ρ: 8.56 g cm⁻³
* SG: No. 12
* formation energy (no corrections): -0.216 eV/atom
* final energy: -3.59 eV per atom

---

Entry 2:
VASP calculation (PBE) on a relaxed HgTe3Pt crystal.

Geometry as POSCAR:
```
HgTe3Pt
1.0
5.366 0.000 0.000
0.000 5.366 0.000
0.000 0.000 5.366
Hg Te Pt
1 3 1
Cartesian
0.000 0.000 0.000
0.000 2.683 2.683
2.683 0.000 2.683
2.683 2.683 0.000
2.683 2.683 2.683
```

Output
* ρ: 8.37 g cm⁻³
* SG: No. 221
* formation energy (no corrections): 0.345 eV/atom
* final energy: -2.81 eV per atom
* energy relative to the lowest polymorph listed for this composition: 0.000 eV/f.u.

---

Entry 3:
VASP calculation (PBE) on a relaxed Tm8HgTe4Pt3 crystal.

Geometry as POSCAR:
```
Tm8HgTe4Pt3
1.0
4.105 2.370 7.325
-4.105 2.370 7.325
0.000 -4.740 7.325
Tm Hg Te Pt
8 1 4 3
Cartesian
-2.139 -1.235 12.606
0.000 0.000 5.205
0.000 -2.470 9.368
-2.139 1.235 9.368
2.139 -1.235 12.606
0.000 2.470 12.606
0.000 0.000 16.770
2.139 1.235 9.368
0.000 0.000 10.987
0.000 0.000 0.000
-2.052 -1.185 7.325
-2.052 1.185 14.650
0.000 2.370 7.325
-4.105 0.000 10.987
-2.052 1.185 3.662
2.052 1.185 3.662
```

Output
* ρ: 10.28 g cm⁻³
* SG: No. 166
* formation energy (no corrections): -1.133 eV/atom
* final energy: -5.31 eV per atom